KLi2Te PBE relaxed; formation energy from raw total energies = -0.4581 eV per atom; N(E_F) = 4.17 states/eV per cell; total magnetization = 0.84 μB per formula unit
1.0
-0.608 -4.738 2.830
3.829 -2.413 -3.216
8.237 -0.909 5.695
K Li Te
2 4 2
direct
0.500 0.500 0.000
0.250 0.750 0.500
0.861 0.125 0.250
0.375 0.139 0.750
0.875 0.111 0.750
0.889 0.625 0.250
0.750 0.250 0.500
0.000 0.000 0.000

***

Re2HgOs PBE relaxed; formation energy from the elements = 673.4 meV/atom; N(E_F) = 4.07 states/eV per cell; total magnetization = 0.00 μB per formula unit
1.0
-0.282 1.966 1.922
-2.103 -0.336 -1.762
-3.989 -6.423 5.985
Os Re Hg
1 2 1
direct
0.500 0.500 0.770
0.500 0.500 0.229
0.000 0.000 0.999
0.000 0.000 0.501

***

BeCrNi PBE relaxed; formation energy from the elements = 1903.8 meV/atom; N(E_F) = 6.82 states/eV per cell; total magnetization = 3.44 μB per formula unit
1.0
-3.758 0.542 -0.373
1.330 -2.359 2.689
0.405 6.739 5.711
Cr Ni Be
2 2 2
direct
0.000 0.000 0.750
0.000 0.000 0.250
0.000 0.000 0.500
0.000 0.000 0.000
0.333 0.667 0.250
0.667 0.333 0.750

***

KYSn PBE relaxed; formation energy from the elements = -369.0 meV/atom; N(E_F) = 3.54 states/eV per cell; total magnetization = 0.00 μB per formula unit
1.0
3.832 0.000 0.000
0.000 4.736 0.000
1.877 -2.323 13.781
Y K Sn
2 2 2
direct
0.359 0.365 0.344
0.774 0.951 0.518
0.993 0.235 0.078
0.639 0.597 0.794
0.889 0.836 0.284
0.247 0.478 0.574

***

Ce3Si2O8 PBE relaxed; formation energy from raw total energies = -2.5250 eV per atom; N(E_F) = 16.52 states/eV per cell; total magnetization = 3.95 μB per formula unit
1.0
-2.701 -5.204 -2.453
1.431 -5.730 2.347
-6.957 -2.941 5.667
Si O Ce
2 8 3
direct
0.739 0.739 0.784
0.261 0.261 0.216
0.040 0.617 0.727
0.617 0.617 0.727
0.325 0.325 0.024
0.383 0.960 0.273
0.383 0.383 0.273
0.617 0.040 0.727
0.960 0.383 0.273
0.675 0.675 0.976
0.409 0.409 0.773
0.591 0.591 0.227
0.000 0.000 0.000

***

CdAgRuCl2 PBE relaxed; formation energy from raw total energies = 0.2784 eV per atom; N(E_F) = 4.37 states/eV per cell; total magnetization = 1.49 μB per formula unit
1.0
4.629 0.000 0.000
0.000 5.746 0.000
0.000 0.000 4.629
Cl Ru Cd Ag
2 1 1 1
direct
0.500 0.000 0.000
0.000 0.000 0.500
0.000 0.000 0.000
0.000 0.500 0.000
0.500 0.500 0.500